TiNbSb2: PBEsol geometry, SCAN.

a b c (Å): 4.769 4.769 4.769
angles (deg): 60.00 60.00 60.00
Atoms (fractional coordinates):
Ti: 0.000 0.000 0.000
Nb: 0.500 0.500 0.500
Sb: 0.250 0.250 0.250
Sb: 0.750 0.750 0.750

Spin magnetization   0.000 μB/atom
Calculated density   8.3 g/cm3

NbZnSb3: PBEsol geometry, SCAN.

a b c (Å): 5.049 5.049 5.049
angles (deg): 90.00 90.00 90.00
Atoms (fractional coordinates):
Nb: 0.000 0.000 0.000
Zn: 0.500 0.500 0.500
Sb: 0.000 0.500 0.500
Sb: 0.500 0.000 0.500
Sb: 0.500 0.500 0.000

Spin magnetization   0.653 μB/atom
Calculated density   6.8 g/cm3

Nb3ZnSb: PBEsol geometry, SCAN.

a b c (Å): 4.677 4.677 4.677
angles (deg): 90.00 90.00 90.00
Atoms (fractional coordinates):
Nb: 0.000 0.000 0.500
Nb: 0.000 0.500 0.000
Nb: 0.500 0.000 0.000
Zn: 0.000 0.000 0.000
Sb: 0.500 0.500 0.500

Spin magnetization   0.001 μB/atom
Calculated density   7.6 g/cm3

Number 1: ΔE_f (raw) -0.229 eV/atom, VASP energy -124.6 eV/cell, volume 19.17 Å³/atom. Number 2: ΔE_f (raw) 0.941 eV/atom, VASP energy -153.7 eV/cell, volume 25.74 Å³/atom. Number 3: ΔE_f (raw) 0.881 eV/atom, VASP energy -145.8 eV/cell, volume 20.46 Å³/atom.